w:
An optimized crystal structure of Hg2PtW, computed with PBE.

The structure in CIF format:
```
data_Hg2PtW
_chemical_formula_sum 'Hg8 Pt4 W4'
_cell_length_a 6.6489
_cell_length_b 6.6489
_cell_length_c 6.6489
_cell_angle_alpha 90.00
_cell_angle_beta 90.00
_cell_angle_gamma 90.00
_space_group_name_H-M_alt 'F m -3 m'
_space_group_IT_number 225
_space_group_name_Hall '-F 4 2 3'
loop_
_atom_site_label
_atom_site_type_symbol
_atom_site_fract_x
_atom_site_fract_y
_atom_site_fract_z
Hg1 Hg 0.2500 0.2500 0.2500
Pt1 Pt 0.0000 0.0000 0.0000
W1 W 0.0000 0.0000 0.5000
```

- calculated volume (Å³ per cell) = 293.9

x:
An optimized crystal structure of Hg2PtW, computed with PBE.

The structure in CIF format:
```
data_Hg2PtW
_chemical_formula_sum 'Hg4 Pt2 W2'
_cell_length_a 5.8239
_cell_length_b 8.9862
_cell_length_c 2.8059
_cell_angle_alpha 90.00
_cell_angle_beta 90.00
_cell_angle_gamma 90.00
_space_group_name_H-M_alt 'C m m m'
_space_group_IT_number 65
_space_group_name_Hall '-C 2 2'
loop_
_atom_site_label
_atom_site_type_symbol
_atom_site_fract_x
_atom_site_fract_y
_atom_site_fract_z
Hg1 Hg 0.2500 0.2500 0.0000
Pt1 Pt 0.0000 0.0000 0.5000
W1 W 0.0000 0.5000 0.5000
```

- calculated volume (Å³ per cell) = 146.8

Relative to the most stable structure, the computed energies are w 0.166; x 0.000, all in eV/atom.

w:
An optimized crystal structure of RhPb2Br, computed with PBE.

The structure in CIF format:
```
data_RhPb2Br
_chemical_formula_sum 'Rh2 Pb4 Br2'
_cell_length_a 6.9827
_cell_length_b 4.0317
_cell_length_c 8.0398
_cell_angle_alpha 90.00
_cell_angle_beta 106.18
_cell_angle_gamma 90.00
_space_group_name_H-M_alt 'C 1 2/m 1'
_space_group_IT_number 12
loop_
_space_group_symop_operation_xyz
'x,y,z'
'-x,-y,-z'
'-x,y,-z'
'x,-y,z'
'x+1/2,y+1/2,z'
'-x+1/2,-y+1/2,-z'
'-x+1/2,y+1/2,-z'
'x+1/2,-y+1/2,z'
loop_
_atom_site_label
_atom_site_type_symbol
_atom_site_fract_x
_atom_site_fract_y
_atom_site_fract_z
Rh1 Rh 0.0000 0.0000 0.0000
Pb1 Pb 0.2289 0.5000 0.1936
Br1 Br 0.0000 0.5000 0.5000
```

- calculated volume (Å³ per cell) = 217.4

x:
An optimized crystal structure of RhPb2Br, computed with PBE.

The structure in CIF format:
```
data_RhPb2Br
_chemical_formula_sum 'Rh2 Pb4 Br2'
_cell_length_a 8.0185
_cell_length_b 7.7399
_cell_length_c 3.3421
_cell_angle_alpha 90.00
_cell_angle_beta 106.64
_cell_angle_gamma 90.00
_space_group_name_H-M_alt 'C 1 2/m 1'
_space_group_IT_number 12
loop_
_space_group_symop_operation_xyz
'x,y,z'
'-x,-y,-z'
'-x,y,-z'
'x,-y,z'
'x+1/2,y+1/2,z'
'-x+1/2,-y+1/2,-z'
'-x+1/2,y+1/2,-z'
'x+1/2,-y+1/2,z'
loop_
_atom_site_label
_atom_site_type_symbol
_atom_site_fract_x
_atom_site_fract_y
_atom_site_fract_z
Rh1 Rh 0.0000 0.0000 0.0000
Pb1 Pb 0.2500 0.2500 0.5000
Br1 Br 0.0000 0.5000 0.0000
```

- calculated volume (Å³ per cell) = 198.7

Relative to the most stable structure, the computed energies are w 0.000; x 0.211, all in eV/atom.

w:
An optimized crystal structure of SrFeRu, computed with PBE.

The structure in CIF format:
```
data_SrFeRu
_chemical_formula_sum 'Sr2 Fe2 Ru2'
_cell_length_a 5.1234
_cell_length_b 4.1986
_cell_length_c 5.6697
_cell_angle_alpha 90.00
_cell_angle_beta 101.91
_cell_angle_gamma 90.00
_space_group_name_H-M_alt 'P 1 21/m 1'
_space_group_IT_number 11
loop_
_space_group_symop_operation_xyz
'x,y,z'
'-x,-y,-z'
'-x,y+1/2,-z'
'x,-y+1/2,z'
loop_
_atom_site_label
_atom_site_type_symbol
_atom_site_fract_x
_atom_site_fract_y
_atom_site_fract_z
Sr1 Sr 0.2451 0.2500 0.4455
Fe1 Fe 0.0707 0.2500 0.9451
Ru1 Ru 0.3640 0.7500 0.9607
```

- calculated volume (Å³ per cell) = 119.3

x:
An optimized crystal structure of SrFeRu, computed with PBE.

The structure in CIF format:
```
data_SrFeRu
_chemical_formula_sum 'Sr4 Fe4 Ru4'
_cell_length_a 11.7252
_cell_length_b 3.9088
_cell_length_c 7.6672
_cell_angle_alpha 90.00
_cell_angle_beta 130.33
_cell_angle_gamma 90.00
_space_group_name_H-M_alt 'C 1 2/m 1'
_space_group_IT_number 12
loop_
_space_group_symop_operation_xyz
'x,y,z'
'-x,-y,-z'
'-x,y,-z'
'x,-y,z'
'x+1/2,y+1/2,z'
'-x+1/2,-y+1/2,-z'
'-x+1/2,y+1/2,-z'
'x+1/2,-y+1/2,z'
loop_
_atom_site_label
_atom_site_type_symbol
_atom_site_fract_x
_atom_site_fract_y
_atom_site_fract_z
Sr1 Sr 0.0721 0.0000 0.3561
Fe1 Fe 0.2366 0.5000 0.8786
Ru1 Ru 0.1287 0.5000 0.0766
```

- calculated volume (Å³ per cell) = 267.9

Relative to the most stable structure, the computed energies are w 0.079; x 0.000, all in eV/atom.

w:
An optimized crystal structure of BaNiBr2, computed with PBE.

The structure in CIF format:
```
data_BaNiBr2
_chemical_formula_sum 'Ba2 Ni2 Br4'
_cell_length_a 4.2721
_cell_length_b 4.6310
_cell_length_c 11.9208
_cell_angle_alpha 90.00
_cell_angle_beta 90.00
_cell_angle_gamma 90.00
_space_group_name_H-M_alt 'A m m 2'
_space_group_IT_number 38
loop_
_space_group_symop_operation_xyz
'x,y,z'
'-x,-y,z'
'-x,y,z'
'x,-y,z'
'x,y+1/2,z+1/2'
'-x,-y+1/2,z+1/2'
'-x,y+1/2,z+1/2'
'x,-y+1/2,z+1/2'
loop_
_atom_site_label
_atom_site_type_symbol
_atom_site_fract_x
_atom_site_fract_y
_atom_site_fract_z
Ba1 Ba 0.0000 0.0000 0.0000
Ni1 Ni 0.5000 0.0000 0.6054
Br1 Br 0.0000 0.0000 0.7014
Br2 Br 0.5000 0.0000 0.4068
```

- calculated volume (Å³ per cell) = 235.8

x:
An optimized crystal structure of BaNiBr2, computed with PBE.

The structure in CIF format:
```
data_BaNiBr2
_chemical_formula_sum 'Ba3 Ni3 Br6'
_cell_length_a 4.3157
_cell_length_b 4.3157
_cell_length_c 23.3833
_cell_angle_alpha 90.00
_cell_angle_beta 90.00
_cell_angle_gamma 120.00
_space_group_name_H-M_alt 'R 3 m'
_space_group_IT_number 160
_space_group_name_Hall 'R 3 -2"'
loop_
_atom_site_label
_atom_site_type_symbol
_atom_site_fract_x
_atom_site_fract_y
_atom_site_fract_z
Ba1 Ba 0.0000 0.0000 0.0000
Ni1 Ni 0.0000 0.0000 0.7567
Br1 Br 0.0000 0.0000 0.2482
Br2 Br 0.0000 0.0000 0.4323
```

- calculated volume (Å³ per cell) = 377.2

Relative to the most stable structure, the computed energies are w 0.000; x 0.110, all in eV/atom.

w:
An optimized crystal structure of La3IrPb, computed with PBE.

The structure in CIF format:
```
data_La3IrPb
_chemical_formula_sum 'La24 Ir8 Pb8'
_cell_length_a 14.4590
_cell_length_b 12.0298
_cell_length_c 7.4180
_cell_angle_alpha 90.00
_cell_angle_beta 90.09
_cell_angle_gamma 90.00
_space_group_name_H-M_alt 'C 1 2/c 1'
_space_group_IT_number 15
loop_
_space_group_symop_operation_xyz
'x,y,z'
'-x,-y,-z'
'-x,y,-z+1/2'
'x,-y,z+1/2'
'x+1/2,y+1/2,z'
'-x+1/2,-y+1/2,-z'
'-x+1/2,y+1/2,-z+1/2'
'x+1/2,-y+1/2,z+1/2'
loop_
_atom_site_label
_atom_site_type_symbol
_atom_site_fract_x
_atom_site_fract_y
_atom_site_fract_z
La1 La 0.1128 0.0725 0.3758
La2 La 0.1126 0.4272 0.6246
La3 La 0.2493 0.3175 0.2098
Ir1 Ir 0.2499 0.0474 0.1009
Pb1 Pb 0.0000 0.1810 0.7500
Pb2 Pb 0.0000 0.3189 0.2500
```

- calculated volume (Å³ per cell) = 1290.3

x:
An optimized crystal structure of La3IrPb, computed with PBE.

The structure in CIF format:
```
data_La3IrPb
_chemical_formula_sum 'La3 Ir1 Pb1'
_cell_length_a 4.7815
_cell_length_b 4.7815
_cell_length_c 8.4101
_cell_angle_alpha 90.00
_cell_angle_beta 90.00
_cell_angle_gamma 90.00
_space_group_name_H-M_alt 'P 4 m m'
_space_group_IT_number 99
loop_
_space_group_symop_operation_xyz
'x,y,z'
'-y,x,z'
'-x,-y,z'
'y,-x,z'
'-x,y,z'
'y,x,z'
'x,-y,z'
'-y,-x,z'
loop_
_atom_site_label
_atom_site_type_symbol
_atom_site_fract_x
_atom_site_fract_y
_atom_site_fract_z
La1 La 0.0000 0.0000 0.0000
La2 La 0.0000 0.5000 0.3373
Ir1 Ir 0.5000 0.5000 0.1431
Pb1 Pb 0.0000 0.0000 0.6205
```

- calculated volume (Å³ per cell) = 192.3

Relative to the most stable structure, the computed energies are w 0.000; x 0.528, all in eV/atom.